1.
The following is a DFT calculation (GGA-PBE) of crystalline YPaBeN3 at its relaxed geometry.

Computed properties:
- Calculated density: 7.74 Mg/m³
- ΔE_f (raw): -1389 meV/atom
- Crystal system: monoclinic
- DOS at the Fermi energy: 0.395 states/eV/atom
- Total energy: -8.83 eV per atom

Cell: 3.311 7.118 6.819 Å, 97.66 90.00 90.00°
Element x y z (fractional)
Y 0.750 0.841 0.802
Y 0.250 0.159 0.198
Pa 0.250 0.652 0.197
Pa 0.750 0.348 0.803
Be 0.250 0.074 0.592
Be 0.750 0.926 0.408
N 0.250 0.842 0.498
N 0.750 0.884 0.155
N 0.750 0.405 0.137
N 0.750 0.158 0.502
N 0.250 0.595 0.863
N 0.250 0.116 0.845


2.
The following is a DFT calculation (GGA-PBE) of crystalline YPa2BeN5 at its relaxed geometry.

Computed properties:
- Calculated density: 8.90 Mg/m³
- ΔE_f (raw): -1292 meV/atom
- Crystal system: orthorhombic
- Total energy: -9.16 eV per atom

Cell: 3.306 7.952 9.140 Å, 90.00 90.00 102.00°
Element x y z (fractional)
Y 0.793 0.585 0.498
Y 0.207 0.415 0.998
Pa 0.894 0.788 0.802
Pa 0.096 0.193 0.682
Pa 0.106 0.212 0.302
Pa 0.904 0.807 0.182
Be 0.544 0.087 0.959
Be 0.456 0.913 0.459
N 0.358 0.717 0.018
N 0.652 0.305 0.845
N 0.492 0.983 0.789
N 0.317 0.635 0.690
N 0.970 0.940 0.541
N 0.642 0.283 0.518
N 0.348 0.695 0.345
N 0.508 0.017 0.289
N 0.683 0.365 0.190
N 0.030 0.060 0.041


3.
The following is a DFT calculation (GGA-PBE) of crystalline Pa2BeZnN5 at its relaxed geometry.

Computed properties:
- Calculated density: 9.83 Mg/m³
- ΔE_f (raw): -899 meV/atom
- Crystal system: orthorhombic
- DOS at the Fermi energy: 0.481 states/eV/atom
- Total energy: -8.19 eV per atom

Cell: 3.335 6.770 9.363 Å, 90.00 90.00 104.26°
Element x y z (fractional)
Pa 0.871 0.743 0.802
Pa 0.125 0.250 0.694
Pa 0.129 0.257 0.302
Pa 0.875 0.750 0.194
Be 0.504 0.007 0.984
Be 0.496 0.993 0.484
Zn 0.806 0.611 0.499
Zn 0.194 0.389 0.999
N 0.362 0.724 0.013
N 0.696 0.393 0.838
N 0.498 0.996 0.790
N 0.302 0.603 0.669
N 0.968 0.936 0.535
N 0.638 0.276 0.513
N 0.304 0.607 0.338
N 0.502 0.004 0.290
N 0.698 0.397 0.169
N 0.032 0.064 0.035


4.
The following is a DFT calculation (GGA-PBE) of crystalline PaBeZn2N4 at its relaxed geometry.

Computed properties:
- Calculated density: 7.30 Mg/m³
- ΔE_f (raw): -500 meV/atom
- Crystal system: orthorhombic
- DOS at the Fermi energy: 0.646 states/eV/atom
- Total energy: -6.63 eV per atom

Cell: 5.051 5.603 6.860 Å, 90.00 90.00 90.00°
Element x y z (fractional)
Pa 0.962 0.169 0.500
Pa 0.462 0.831 0.000
Be 0.505 0.826 0.500
Be 0.005 0.174 0.000
Zn 0.487 0.339 0.251
Zn 0.487 0.339 0.749
Zn 0.987 0.661 0.751
Zn 0.987 0.661 0.249
N 0.350 0.197 0.000
N 0.850 0.803 0.500
N 0.425 0.144 0.500
N 0.925 0.856 0.000
N 0.392 0.691 0.713
N 0.892 0.309 0.213
N 0.892 0.309 0.787
N 0.392 0.691 0.287